NaNdTiNbO6F: PBEsol geometry, meta-GGA SCAN.

Summary:
- Volume: 275 Å³/cell
- E_form (uncorrected): -3.22 eV/atom
- Energy relative to the lowest polymorph listed for this composition: 3 meV/atom

```
22
Lattice="-3.575 3.758 5.114 3.575 -3.758 5.114 3.575 3.758 -5.114" Properties=species:S:1:pos:R:3 pbc="T T T"
Na -1.787 1.879 2.557
Na 1.787 1.879 2.557
Nd 0.000 0.000 0.000
Nd 0.000 3.758 0.000
Ti 1.787 1.879 -2.557
Ti 1.787 -1.879 2.557
Nb 3.575 0.000 0.000
Nb 0.000 0.000 5.114
O 2.098 -0.450 1.257
O 5.051 -0.450 1.257
O 3.575 -1.879 3.363
O 2.098 3.308 -1.257
O 1.477 -0.450 3.857
O 3.575 1.879 0.694
O 0.000 1.879 4.419
O 2.098 4.208 1.257
O 1.477 0.450 6.371
O 0.000 5.637 1.751
O -1.477 4.208 3.857
O 1.477 4.208 3.857
F 0.000 1.879 1.305
F 3.575 1.879 3.809
```

***

Li3FeF6: PBEsol geometry, meta-GGA SCAN.

Summary:
- Volume: 94 Å³/cell
- E_form (uncorrected): -2.70 eV/atom
- Energy relative to the lowest polymorph listed for this composition: 170 meV/atom

```
10
Lattice="4.846 0.000 0.000 -2.423 4.197 0.000 0.000 0.000 4.642" Properties=species:S:1:pos:R:3 pbc="T T T"
Li 0.000 0.000 0.000
Li 0.000 2.798 0.000
Li 2.423 1.399 0.000
Fe 0.000 0.000 2.321
F -0.739 1.280 1.168
F -1.684 2.916 3.474
F 1.479 0.000 1.168
F 0.739 1.280 3.474
F 3.367 0.000 3.474
F 1.684 2.916 1.168
```

***

Tl2GeSe3: PBEsol geometry, meta-GGA SCAN.

Summary:
- Volume: 337 Å³/cell
- E_form (uncorrected): -0.40 eV/atom

```
12
Lattice="6.800 0.000 0.000 -2.747 6.240 0.000 -3.143 -1.536 7.935" Properties=species:S:1:pos:R:3 pbc="T T T"
Tl -1.503 2.249 2.652
Tl -1.594 -0.289 7.095
Tl 2.503 4.994 0.840
Tl 2.412 2.456 5.283
Ge 1.828 -0.177 2.474
Ge -0.918 4.882 5.461
Se -2.716 5.247 3.882
Se -0.763 4.677 0.611
Se -0.665 2.594 5.857
Se 1.574 2.111 2.078
Se 1.672 0.027 7.324
Se 3.626 -0.542 4.053
```

***

Ti2PIr2: PBEsol geometry, meta-GGA SCAN.

Summary:
- Volume: 85 Å³/cell
- Energy of formation: -370 meV per atom

```
5
Lattice="-1.832 1.832 6.300 1.832 -1.832 6.300 1.832 1.832 -6.300" Properties=species:S:1:pos:R:3 pbc="T T T"
Ti 0.000 0.000 1.419
Ti 0.000 0.000 11.182
P 0.000 0.000 6.300
Ir 1.832 0.000 3.150
Ir 0.000 1.832 3.150
```